First-principles (PBE-GGA) data for a relaxed Os2PtBr crystal, as listed in Alexandria.

Its uncorrected formation energy is 1.22 eV per atom. For the energy above the lowest structure with this stoichiometry, the calculation gives 638 meV per atom. The total energy comes out at -6.33 eV/atom.

Lattice parameters (Å, degrees): 2.777 4.805 4.840 90.00 90.00 90.00
Fractional positions:
Os 0.000 0.000 0.000
Os 0.500 0.500 0.000
Br 0.000 0.500 0.500
Pt 0.500 0.000 0.500